Below is a relaxed Ba2CeCo2O6 crystal, with properties calculated at the PBE with a Hubbard U level.

Cell lengths 6.1413, 6.1413, 6.7309 Å; angles 62.86, 62.86, 60.00 degrees
Last column: nearest neighbours and their distance in Å.
Fractional coordinates of all 11 atoms:
Ba1 0.7832 0.7832 0.6503  9 O 2.83-3.12
Ba2 0.2168 0.2168 0.3497  9 O 2.83-3.12
Ce1 0.0000 0.0000 0.0000  6 O 2.25
Co1 0.4337 0.4337 0.6988  3 O 1.85
Co2 0.5663 0.5663 0.3012  3 O 1.85
O1 0.7538 0.7538 0.2566  1 Co 1.85
O2 0.2357 0.7538 0.2566  1 Co 1.85
O3 0.7538 0.2357 0.2566  1 Co 1.85
O4 0.2462 0.7643 0.7434  1 Co 1.85
O5 0.7643 0.2462 0.7434  1 Co 1.85
O6 0.2462 0.2462 0.7434  1 Co 1.85

DFT total energy = -6.668 eV per atom